Entry 1:
DFT (PBE) results for an optimized crystal structure of Y2Er2Lu3Ni2Te2.

Cell and atoms, written as POSCAR:
```
Y2Er2Lu3Ni2Te2
1.0
-1.904 7.717 4.772
1.904 -7.717 4.772
1.904 7.717 -4.772
Er Lu Ni Te Y
2 3 2 2 2
Cartesian
1.904 -5.667 3.780
1.904 5.667 3.780
0.000 0.000 4.531
1.904 -2.252 2.384
1.904 2.252 2.384
0.000 3.660 3.820
1.904 4.057 -0.953
0.000 0.000 1.346
0.000 7.717 2.303
0.000 4.862 0.941
0.000 10.571 0.941
```

Summary:
**VASP energy**: -5.483 eV per atom
**Space-group type**: Imm2 (44)



Entry 2:
DFT (PBE) results for an optimized crystal structure of ErLuNp.

Cell and atoms, written as POSCAR:
```
ErLuNp
1.0
0.000 3.693 3.693
3.693 0.000 3.693
3.693 3.693 0.000
Er Lu Np
1 1 1
Cartesian
0.000 0.000 0.000
1.847 1.847 1.847
5.540 5.540 5.540
```

Summary:
**ΔH_f (0 K)**: 1.198 eV per atom
**Space-group type**: F-43m (216)



Entry 3:
DFT (PBE) results for an optimized crystal structure of Er2Lu2O5.

Cell and atoms, written as POSCAR:
```
Er2Lu2O5
1.0
9.138 0.000 0.000
0.000 3.852 0.000
0.000 0.000 3.852
Er Lu O
2 2 5
Cartesian
2.210 1.926 1.926
6.927 1.926 1.926
0.000 0.000 0.000
4.569 0.000 0.000
1.308 1.926 0.000
7.830 1.926 0.000
1.308 0.000 1.926
7.830 0.000 1.926
4.569 1.926 1.926
```

Summary:
**VASP energy**: -7.666 eV per atom
**Space-group type**: P4/mmm (123)



Entry 4:
DFT (PBE) results for an optimized crystal structure of ErLu2O4.

Cell and atoms, written as POSCAR:
```
ErLu2O4
1.0
-2.161 3.090 -5.407
2.277 -6.168 -0.467
-5.739 1.129 3.038
Er Lu O
2 4 8
Cartesian
0.000 0.000 0.000
-1.917 -0.484 -3.529
0.180 -3.326 -1.998
-3.828 0.323 -0.245
-2.689 -2.761 -0.479
-4.908 1.868 -2.949
-0.777 -3.851 -0.039
-3.002 0.918 -2.243
-1.807 -2.420 -2.512
-1.997 -0.811 0.385
-5.659 1.456 -0.876
-3.572 -3.102 1.555
-4.601 -1.672 -0.918
-4.654 -0.272 1.753
```

Summary:
**VASP energy**: -8.089 eV per atom
**Space-group type**: I4_1/amd (141)



Entry 5:
DFT (PBE) results for an optimized crystal structure of Er2Lu2O5.

Cell and atoms, written as POSCAR:
```
Er2Lu2O5
1.0
9.089 0.000 0.000
0.000 3.845 0.000
0.000 0.000 3.845
Er Lu O
2 2 5
Cartesian
0.000 0.000 0.000
4.545 0.000 0.000
2.212 1.922 1.922
6.877 1.922 1.922
1.352 1.922 0.000
7.737 1.922 0.000
1.352 0.000 1.922
7.737 0.000 1.922
4.545 1.922 1.922
```

Summary:
**VASP energy**: -7.725 eV per atom
**Space-group type**: P4/mmm (123)



Entry 6:
DFT (PBE) results for an optimized crystal structure of Er2TmLu3OsS2.

Cell and atoms, written as POSCAR:
```
Er2TmLu3OsS2
1.0
-2.766 -1.272 -2.498
4.276 -6.207 -1.573
-5.123 -0.146 5.746
Er Lu Os S Tm
2 3 1 2 1
Cartesian
1.218 -6.289 1.854
-2.569 -3.847 4.803
1.604 -6.878 -1.377
-2.017 -5.394 1.876
-5.430 -2.343 4.100
-0.002 -0.018 0.012
-0.230 -4.831 -0.390
-3.384 -2.797 2.066
-0.340 -2.548 1.673
```

Summary:
**VASP energy**: -5.990 eV per atom
**Space-group type**: Amm2 (38)



Entry 7:
DFT (PBE) results for an optimized crystal structure of Er3Lu3Sb2Os.

Cell and atoms, written as POSCAR:
```
Er3Lu3Sb2Os
1.0
8.066 0.000 0.000
-4.033 6.986 0.000
0.000 0.000 4.170
Er Lu Os Sb
3 3 1 2
Cartesian
6.134 0.000 2.085
0.966 1.674 2.085
-3.067 5.312 2.085
3.129 0.000 0.000
-1.564 2.709 0.000
2.469 4.276 0.000
0.000 0.000 0.000
4.033 2.329 2.085
0.000 4.657 2.085
```

Summary:
**VASP energy**: -5.837 eV per atom
**Space-group type**: P-62m (189)



Entry 8:
DFT (PBE) results for an optimized crystal structure of Er3Lu3Sb2Os.

Cell and atoms, written as POSCAR:
```
Er3Lu3Sb2Os
1.0
8.045 0.000 0.000
-4.022 6.967 0.000
0.000 0.000 4.191
Er Lu Os Sb
3 3 1 2
Cartesian
3.137 0.000 0.000
-1.568 2.717 0.000
2.454 4.250 0.000
6.156 0.000 2.096
0.944 1.636 2.096
-3.078 5.331 2.096
0.000 0.000 0.000
4.022 2.322 2.096
0.000 4.645 2.096
```

Summary:
**VASP energy**: -5.895 eV per atom
**Space-group type**: P-62m (189)